Version one
Material: CsK2In2
Method: DFT, PBE
State: optimized geometry

The structure in CIF format:
```
data_CsK2In2
_cell_length_a 10.245
_cell_length_b 10.245
_cell_length_c 4.597
_cell_angle_alpha 90.00
_cell_angle_beta 90.00
_cell_angle_gamma 90.00
_space_group_name_H-M_alt 'P 4/m b m'
_space_group_IT_number 127
_space_group_name_Hall '-P 4 2ab'
loop_
_atom_site_label
_atom_site_fract_x
_atom_site_fract_y
_atom_site_fract_z
_atom_site_occupancy
Cs1 0.000 0.000 0.000 1
K1 0.181 0.319 0.500 1
In1 0.101 0.601 0.000 1
```

Output
Total moment   0.0 μB per formula unit
N(E_F)   1.48 states/eV/atom

---

Version two
Material: CsK2In2
Method: DFT, PBE
State: optimized geometry

The structure in CIF format:
```
data_CsK2In2
_cell_length_a 6.013
_cell_length_b 6.013
_cell_length_c 14.414
_cell_angle_alpha 90.00
_cell_angle_beta 90.00
_cell_angle_gamma 90.00
_space_group_name_H-M_alt 'I 4/m m m'
_space_group_IT_number 139
_space_group_name_Hall '-I 4 2'
loop_
_atom_site_label
_atom_site_fract_x
_atom_site_fract_y
_atom_site_fract_z
_atom_site_occupancy
Cs1 0.000 0.000 0.000 1
K1 0.000 0.500 0.250 1
In1 0.000 0.000 0.403 1
```

Output
Total moment   0.0 μB per formula unit
N(E_F)   1.33 states/eV/atom

---

Version three
Material: CsK2In2
Method: DFT, PBE
State: optimized geometry

The structure in CIF format:
```
data_CsK2In2
_cell_length_a 11.061
_cell_length_b 11.061
_cell_length_c 3.781
_cell_angle_alpha 90.00
_cell_angle_beta 90.00
_cell_angle_gamma 90.00
_space_group_name_H-M_alt 'P 4/m b m'
_space_group_IT_number 127
_space_group_name_Hall '-P 4 2ab'
loop_
_atom_site_label
_atom_site_fract_x
_atom_site_fract_y
_atom_site_fract_z
_atom_site_occupancy
Cs1 0.000 0.000 0.000 1
K1 0.132 0.368 0.000 1
In1 0.162 0.662 0.500 1
```

Output
Total moment   0.0 μB per formula unit
N(E_F)   1.18 states/eV/atom

---

Version four
Material: CsK2In2
Method: DFT, PBE
State: optimized geometry

The structure in CIF format:
```
data_CsK2In2
_cell_length_a 14.921
_cell_length_b 5.173
_cell_length_c 7.115
_cell_angle_alpha 90.00
_cell_angle_beta 103.45
_cell_angle_gamma 90.00
_space_group_name_H-M_alt 'C 1 2/m 1'
_space_group_IT_number 12
_space_group_name_Hall '-C 2y'
loop_
_atom_site_label
_atom_site_fract_x
_atom_site_fract_y
_atom_site_fract_z
_atom_site_occupancy
Cs1 0.000 0.000 0.000 1
K1 0.153 0.500 0.558 1
In1 0.235 0.500 0.082 1
```

Output
Total moment   0.0 μB per formula unit
N(E_F)   0.73 states/eV/atom

---

Q: Which of them is the most stable? A: version four.

---

Version one
Material: CsKIn2
Method: DFT, PBE
State: optimized geometry

The structure in CIF format:
```
data_CsKIn2
_cell_length_a 8.850
_cell_length_b 8.850
_cell_length_c 8.850
_cell_angle_alpha 90.00
_cell_angle_beta 90.00
_cell_angle_gamma 90.00
_space_group_name_H-M_alt 'F m -3 m'
_space_group_IT_number 225
_space_group_name_Hall '-F 4 2 3'
loop_
_atom_site_label
_atom_site_fract_x
_atom_site_fract_y
_atom_site_fract_z
_atom_site_occupancy
Cs1 0.000 0.000 0.000 1
K1 0.000 0.000 0.500 1
In1 0.250 0.250 0.250 1
```

Output
Total moment   0.0 μB per formula unit
N(E_F)   0.97 states/eV/atom

---

Version two
Material: CsKIn2
Method: DFT, PBE
State: optimized geometry

The structure in CIF format:
```
data_CsKIn2
_cell_length_a 5.154
_cell_length_b 8.898
_cell_length_c 9.740
_cell_angle_alpha 90.00
_cell_angle_beta 105.21
_cell_angle_gamma 90.00
_space_group_name_H-M_alt 'P 1 21/m 1'
_space_group_IT_number 11
_space_group_name_Hall '-P 2yb'
loop_
_atom_site_label
_atom_site_fract_x
_atom_site_fract_y
_atom_site_fract_z
_atom_site_occupancy
Cs1 0.102 0.250 0.202 1
K1 0.367 0.250 0.735 1
In1 0.250 0.583 0.501 1
```

Output
Total moment   0.0 μB per formula unit
N(E_F)   0.63 states/eV/atom

---

Q: Which of them is the most stable? A: version two.